The following is a PBE-GGA calculation of a relaxed YThN crystal, from the Alexandria database.

a b c (Å): 3.3720 4.9523 4.9523
angles (deg): 78.30 70.11 70.11
Last column: nearest neighbours and their distance in Å.
Fractional positions:
Y (0.1581, 0.4620, 0.4620)  2 N 2.34
Th (0.6326, 0.9867, 0.9867)  2 N 2.37
N (0.8925, 0.2271, 0.2271)  2 Y 2.34, 2 Th 2.37

Values from the calculation:
energy above the lowest structure with this stoichiometry = 10.44 kcal/mol of atoms